No. 1
Computed, not measured: crystalline KMn2AsP at its relaxed geometry at the PBE-GGA level of DFT. Values from VASP.

The structure in Quantum ESPRESSO input format:
```
&SYSTEM
  ibrav = 0, nat = 5, ntyp = 4
/
ATOMIC_SPECIES
K 39.10 K.upf
Mn 54.94 Mn.upf
As 74.92 As.upf
P 30.97 P.upf
CELL_PARAMETERS angstrom
4.332 0.000 0.000
0.000 4.332 0.000
0.000 0.000 5.474
ATOMIC_POSITIONS crystal
K 0.000 0.000 0.000
Mn 0.000 0.500 0.500
Mn 0.500 0.000 0.500
As 0.500 0.500 0.000
P 0.000 0.000 0.500
```

Results
ΔH_f (0 K) ... 864 meV per atom
Electronic total energy ... -25.18 eV per formula unit
Calculated density ... 4.1 g/cm³
N(E_F) ... 8.38 states/eV/f.u.



No. 2
Computed, not measured: crystalline KMnAs2Pd at its relaxed geometry at the PBE-GGA level of DFT. Values from VASP.

The structure in Quantum ESPRESSO input format:
```
&SYSTEM
  ibrav = 0, nat = 10, ntyp = 4
/
ATOMIC_SPECIES
K 39.10 K.upf
Mn 54.94 Mn.upf
As 74.92 As.upf
Pd 106.42 Pd.upf
CELL_PARAMETERS angstrom
4.144 0.000 0.000
0.000 4.144 0.000
0.000 0.000 13.311
ATOMIC_POSITIONS crystal
K 0.000 0.000 0.000
K 0.500 0.500 0.500
Mn 0.000 0.500 0.250
Mn 0.500 0.000 0.750
As 0.000 0.000 0.352
As 0.000 0.000 0.648
As 0.500 0.500 0.148
As 0.500 0.500 0.852
Pd 0.000 0.500 0.750
Pd 0.500 0.000 0.250
```

Results
ΔH_f (0 K) ... -407 meV per atom
Electronic total energy ... -26.79 eV per formula unit
Calculated density ... 5.1 g/cm³
N(E_F) ... 2.34 states/eV/f.u.



No. 3
Computed, not measured: crystalline KMnAs2Pt4 at its relaxed geometry at the PBE-GGA level of DFT. Values from VASP.

The structure in Quantum ESPRESSO input format:
```
&SYSTEM
  ibrav = 0, nat = 8, ntyp = 4
/
ATOMIC_SPECIES
K 39.10 K.upf
Mn 54.94 Mn.upf
As 74.92 As.upf
Pt 195.08 Pt.upf
CELL_PARAMETERS angstrom
4.079 0.000 0.000
0.000 4.079 0.000
0.000 0.000 9.895
ATOMIC_POSITIONS crystal
K 0.000 0.000 0.000
Mn 0.000 0.000 0.500
As 0.500 0.500 0.195
As 0.500 0.500 0.805
Pt 0.000 0.500 0.337
Pt 0.000 0.500 0.663
Pt 0.500 0.000 0.337
Pt 0.500 0.000 0.663
```

Results
ΔH_f (0 K) ... -378 meV per atom
Electronic total energy ... -46.75 eV per formula unit
Calculated density ... 10.3 g/cm³
N(E_F) ... 2.96 states/eV/f.u.



No. 4
Computed, not measured: crystalline K2MnAsRu at its relaxed geometry at the PBE-GGA level of DFT. Values from VASP.

The structure in Quantum ESPRESSO input format:
```
&SYSTEM
  ibrav = 0, nat = 5, ntyp = 4
/
ATOMIC_SPECIES
K 39.10 K.upf
Mn 54.94 Mn.upf
As 74.92 As.upf
Ru 101.07 Ru.upf
CELL_PARAMETERS angstrom
6.336 0.000 0.000
0.000 6.336 0.000
0.000 0.000 4.622
ATOMIC_POSITIONS crystal
K 0.000 0.500 0.000
K 0.500 0.000 0.000
Mn 0.000 0.000 0.500
As 0.500 0.500 0.000
Ru 0.500 0.500 0.500
```

Results
ΔH_f (0 K) ... 806 meV per atom
Electronic total energy ... -21.26 eV per formula unit
Calculated density ... 2.8 g/cm³
N(E_F) ... 8.84 states/eV/f.u.



No. 5
Computed, not measured: crystalline KMnAs2Ru at its relaxed geometry at the PBE-GGA level of DFT. Values from VASP.

The structure in Quantum ESPRESSO input format:
```
&SYSTEM
  ibrav = 0, nat = 10, ntyp = 4
/
ATOMIC_SPECIES
K 39.10 K.upf
Mn 54.94 Mn.upf
As 74.92 As.upf
Ru 101.07 Ru.upf
CELL_PARAMETERS angstrom
3.921 0.000 0.000
0.000 3.921 0.000
0.000 0.000 14.072
ATOMIC_POSITIONS crystal
K 0.000 0.000 0.000
K 0.500 0.500 0.500
Mn 0.000 0.500 0.250
Mn 0.500 0.000 0.750
As 0.000 0.000 0.355
As 0.000 0.000 0.645
As 0.500 0.500 0.145
As 0.500 0.500 0.855
Ru 0.000 0.500 0.750
Ru 0.500 0.000 0.250
```

Results
ΔH_f (0 K) ... -391 meV per atom
Electronic total energy ... -30.80 eV per formula unit
Calculated density ... 5.3 g/cm³
N(E_F) ... 2.73 states/eV/f.u.



No. 6
Computed, not measured: crystalline KMnAsSe2 at its relaxed geometry at the PBE-GGA level of DFT. Values from VASP.

The structure in Quantum ESPRESSO input format:
```
&SYSTEM
  ibrav = 0, nat = 5, ntyp = 4
/
ATOMIC_SPECIES
K 39.10 K.upf
Mn 54.94 Mn.upf
As 74.92 As.upf
Se 78.96 Se.upf
CELL_PARAMETERS angstrom
5.087 0.000 0.000
0.000 5.087 0.000
0.000 0.000 4.728
ATOMIC_POSITIONS crystal
K 0.000 0.000 0.000
Mn 0.500 0.500 0.500
As 0.500 0.500 0.000
Se 0.000 0.500 0.500
Se 0.500 0.000 0.500
```

Results
Electronic total energy ... -23.21 eV per formula unit
Energy relative to the elements, uncorrected ... -6.10 kcal/mol of atoms
Calculated density ... 4.4 g/cm³
N(E_F) ... 3.85 states/eV/f.u.



No. 7
Computed, not measured: crystalline KMnAsSe2 at its relaxed geometry at the PBE-GGA level of DFT. Values from VASP.

The structure in Quantum ESPRESSO input format:
```
&SYSTEM
  ibrav = 0, nat = 5, ntyp = 4
/
ATOMIC_SPECIES
K 39.10 K.upf
Mn 54.94 Mn.upf
As 74.92 As.upf
Se 78.96 Se.upf
CELL_PARAMETERS angstrom
5.553 0.000 0.000
0.000 5.553 0.000
0.000 0.000 5.355
ATOMIC_POSITIONS crystal
K 0.000 0.000 0.000
Mn 0.500 0.500 0.500
As 0.000 0.000 0.500
Se 0.000 0.500 0.000
Se 0.500 0.000 0.000
```

Results
Electronic total energy ... -15.34 eV per formula unit
Energy relative to the elements, uncorrected ... 30.19 kcal/mol of atoms
Calculated density ... 3.3 g/cm³
N(E_F) ... 5.82 states/eV/f.u.



No. 8
Computed, not measured: crystalline KMnTe3As at its relaxed geometry at the PBE-GGA level of DFT. Values from VASP.

The structure in Quantum ESPRESSO input format:
```
&SYSTEM
  ibrav = 0, nat = 12, ntyp = 4
/
ATOMIC_SPECIES
K 39.10 K.upf
Mn 54.94 Mn.upf
Te 127.60 Te.upf
As 74.92 As.upf
CELL_PARAMETERS angstrom
9.605 0.000 0.000
0.000 4.340 0.000
-3.229 0.000 9.853
ATOMIC_POSITIONS crystal
K 0.201 0.250 0.245
K 0.799 0.750 0.755
Mn 0.084 0.250 0.610
Mn 0.916 0.750 0.390
Te 0.130 0.250 0.880
Te 0.217 0.750 0.532
Te 0.463 0.750 0.149
Te 0.537 0.250 0.851
Te 0.783 0.250 0.468
Te 0.870 0.750 0.120
As 0.337 0.750 0.878
As 0.663 0.250 0.122
```

Results
Electronic total energy ... -26.34 eV per formula unit
Energy relative to the elements, uncorrected ... -7.67 kcal/mol of atoms
Calculated density ... 4.5 g/cm³
N(E_F) ... 0.55 states/eV/f.u.